Here is an optimized crystal structure of Tc3WO from the Alexandria database. Energies are from PBE with a Hubbard U.

Computed properties:
Volume in A^3/atom: 23.03
Electronic total energy in eV per atom: -6.07
Offset from the most stable computed form in meV per atom: 2439
DOS(E_F) in states/eV/cell: 3.0

Cell and atoms, written as CIF:
```
data_Tc3WO
_chemical_formula_sum 'Tc3 W1 O1'
_symmetry_space_group_name_H-M 'P m -3 m'
_symmetry_Int_Tables_number 221
_symmetry_space_group_name_Hall '-P 4 2 3'
_cell_length_a 4.865
_cell_length_b 4.865
_cell_length_c 4.865
_cell_angle_alpha 90.00
_cell_angle_beta 90.00
_cell_angle_gamma 90.00
loop_
_atom_site_label
_atom_site_type_symbol
_atom_site_fract_x
_atom_site_fract_y
_atom_site_fract_z
_atom_site_occupancy
Tc1 Tc 0.000 0.000 0.500 1
W1 W 0.000 0.000 0.000 1
O1 O 0.500 0.500 0.500 1
```